EuAgHgAu: relaxed, GGA-PBE.

Summary:
SG = F-43m
Crystal system = cubic
Raw total energy = -4.56 eV/atom
Mass density = 11.65 g/cm3
Energy of formation from the pure elements = -8.80 kcal/mol of atoms

```
EuAgHgAu
1.0
0.000 3.605 3.605
3.605 0.000 3.605
3.605 3.605 0.000
Eu Ag Hg Au
1 1 1 1
Direct
0.000 0.000 0.000 Eu
0.250 0.250 0.250 Ag
0.500 0.500 0.500 Hg
0.750 0.750 0.750 Au
```



Be3NiPt: relaxed, GGA-PBE.

Summary:
SG = Pm-3m
Crystal system = cubic
Raw total energy = -4.35 eV/atom
Mass density = 8.05 g/cm3
Energy of formation from the pure elements = 5.75 kcal/mol of atoms
Excess energy over the best structure of this formula in the dataset = 0.0000 eV per atom

```
Be3NiPt
1.0
3.869 0.000 0.000
0.000 3.869 0.000
0.000 0.000 3.869
Be Ni Pt
3 1 1
Direct
0.000 0.000 0.500 Be
0.000 0.500 0.000 Be
0.500 0.000 0.000 Be
0.000 0.000 0.000 Ni
0.500 0.500 0.500 Pt
```



CrAs2P: relaxed, GGA-PBE.

Summary:
SG = R-3m
Crystal system = trigonal
Raw total energy = -5.77 eV/atom
Mass density = 6.09 g/cm3
Energy of formation from the pure elements = 7.27 kcal/mol of atoms

```
CrAs2P
1.0
1.487 0.859 8.281
-1.487 0.859 8.281
0.000 -1.717 8.281
Cr As P
1 2 1
Direct
0.000 0.000 0.000 Cr
0.262 0.262 0.262 As
0.738 0.738 0.738 As
0.500 0.500 0.500 P
```



Hg2SbS4: relaxed, GGA-PBE.

Summary:
SG = C2/m
Crystal system = monoclinic
Raw total energy = -3.08 eV/atom
Mass density = 6.11 g/cm3
Formation energy without anion corrections = -0.05 eV per atom
Excess energy over the best structure of this formula in the dataset = 0.0000 eV per atom

```
Hg2SbS4
1.0
6.575 -2.016 0.000
6.575 2.016 0.000
-1.872 0.000 6.680
Hg Sb S
2 1 4
Direct
0.138 0.138 0.092 Hg
0.862 0.862 0.908 Hg
0.500 0.500 0.500 Sb
0.124 0.124 0.439 S
0.366 0.366 0.137 S
0.634 0.634 0.863 S
0.876 0.876 0.561 S
```